The following is a DFT calculation (meta-GGA SCAN) of LiTl2BrN at its PBEsol-relaxed geometry.

Unit cell a=5.3363 b=5.3363 c=4.4589 alpha=90.00 beta=90.00 gamma=90.00
Space group P4/mmm (No. 123)
Unique sites:
Li  0.0000  0.0000  0.0000 [1 per cell]
Tl  0.0000  0.5000  0.0000 [2 per cell]
Br  0.0000  0.0000  0.5000 [1 per cell]
N  0.5000  0.5000  0.5000 [1 per cell]

Calculated values
- DOS(E_F): 0.43 states/eV/atom
- E_tot: -172.81 eV/cell

The following is a DFT calculation (meta-GGA SCAN) of CaBrCl at its PBEsol-relaxed geometry.

Unit cell a=4.1366 b=4.1366 c=6.1491 alpha=90.00 beta=90.00 gamma=120.00
Space group P3m1 (No. 156)
Unique sites:
Ca  0.0000  0.0000  0.0000 [1 per cell]
Br  0.3333  0.6667  0.2603 [1 per cell]
Cl  0.6667  0.3333  0.7830 [1 per cell]

Calculated values
- DOS(E_F): 0.00 states/eV/atom
- E_tot: -44.42 eV/cell

The following is a DFT calculation (meta-GGA SCAN) of BeCuTc2 at its PBEsol-relaxed geometry.

Unit cell a=2.6081 b=2.6081 c=25.1281 alpha=90.00 beta=90.00 gamma=120.00
Space group R-3m (No. 166, hexagonal axes)
Unique sites:
Be  0.0000  0.0000  0.0000 [3 per cell]
Cu  0.0000  0.0000  0.5000 [3 per cell]
Tc  0.0000  0.0000  0.2538 [6 per cell]

Calculated values
- DOS(E_F): 0.75 states/eV/atom
- Formation energy: 0.7 eV/f.u.
- E_tot: -266.85 eV/cell

The following is a DFT calculation (meta-GGA SCAN) of K3NaH4 at its PBEsol-relaxed geometry.

Unit cell a=5.3949 b=5.3949 c=5.3949 alpha=90.00 beta=90.00 gamma=90.00
Space group Pm-3m (No. 221)
Unique sites:
K  0.0000  0.0000  0.5000 [3 per cell]
Na  0.5000  0.5000  0.5000 [1 per cell]
H  0.0000  0.0000  0.0000 [1 per cell]
H  0.0000  0.5000  0.5000 [3 per cell]

Calculated values
- DOS(E_F): 0.00 states/eV/atom
- E_tot: -45.08 eV/cell

The following is a DFT calculation (meta-GGA SCAN) of LaCoBr2 at its PBEsol-relaxed geometry.

Unit cell a=3.8927 b=3.8576 c=6.8545 alpha=90.00 beta=106.44 gamma=90.00
Space group Pm (No. 6)
Unique sites:
La  0.0000  0.0000  0.0000 [1 per cell]
Co  0.4041  0.5000  0.8822 [1 per cell]
Br  0.3254  0.0000  0.6505 [1 per cell]
Br  0.6243  0.5000  0.2399 [1 per cell]

Calculated values
- Offset from the most stable computed form: 0.0 kJ per mole of atoms
- DOS(E_F): 0.04 states/eV/atom
- E_tot: -102.88 eV/cell

The following is a DFT calculation (meta-GGA SCAN) of Li2HgPt at its PBEsol-relaxed geometry.

Unit cell a=6.3176 b=6.3176 c=6.3176 alpha=90.00 beta=90.00 gamma=90.00
Space group F-43m (No. 216)
Unique sites:
Li  0.0000  0.0000  0.0000 [4 per cell]
Li  0.2500  0.2500  0.2500 [4 per cell]
Hg  0.0000  0.0000  0.5000 [4 per cell]
Pt  0.2500  0.2500  0.7500 [4 per cell]

Calculated values
- DOS(E_F): 0.26 states/eV/atom
- Formation energy: -2.0 eV/f.u.
- E_tot: -580.37 eV/cell

The following is a DFT calculation (meta-GGA SCAN) of Sc4Pb5 at its PBEsol-relaxed geometry.

Unit cell a=9.0092 b=9.0092 c=6.1727 alpha=90.00 beta=90.00 gamma=120.00
Space group P6_3/mcm (No. 193)
Unique sites:
Sc  0.0000  0.0000  0.0000 [2 per cell]
Sc  0.0000  0.3846  0.2500 [6 per cell]
Pb  0.0000  0.2844  0.7500 [6 per cell]
Pb  0.3333  0.6667  0.0000 [4 per cell]

Calculated values
- DOS(E_F): 0.78 states/eV/atom
- Formation energy: -4.3 eV/f.u.
- E_tot: -880.39 eV/cell

The following is a DFT calculation (meta-GGA SCAN) of Ba2LuCu3O6 at its PBEsol-relaxed geometry.

Unit cell a=3.8040 b=3.8040 c=11.8295 alpha=90.00 beta=90.00 gamma=90.00
Space group P4/mmm (No. 123)
Unique sites:
Ba  0.0000  0.0000  0.1978 [2 per cell]
Lu  0.0000  0.0000  0.5000 [1 per cell]
Cu  0.5000  0.5000  0.0000 [1 per cell]
Cu  0.5000  0.5000  0.3724 [2 per cell]
O  0.0000  0.5000  0.3844 [4 per cell]
O  0.5000  0.5000  0.1512 [2 per cell]

Calculated values
- DOS(E_F): 0.44 states/eV/atom
- E_tot: -243.07 eV/cell

The following is a DFT calculation (meta-GGA SCAN) of RuSeBr2 at its PBEsol-relaxed geometry.

Unit cell a=3.4895 b=3.4895 c=25.4990 alpha=90.00 beta=90.00 gamma=120.00
Space group R-3m (No. 166, hexagonal axes)
Unique sites:
Ru  0.0000  0.0000  0.0000 [3 per cell]
Se  0.0000  0.0000  0.5000 [3 per cell]
Br  0.0000  0.0000  0.2767 [6 per cell]

Calculated values
- Offset from the most stable computed form: 0.0 kJ per mole of atoms
- DOS(E_F): 1.17 states/eV/atom
- E_tot: -277.64 eV/cell

The following is a DFT calculation (meta-GGA SCAN) of SrAs2 at its PBEsol-relaxed geometry.

Unit cell a=4.1236 b=4.6526 c=16.0265 alpha=90.00 beta=90.00 gamma=90.00
Space group Imma (No. 74)
Unique sites:
Sr  0.0000  0.2500  0.1270 [4 per cell]
As  0.0000  0.2500  0.5308 [4 per cell]
As  0.0000  0.2500  0.6889 [4 per cell]

Calculated values
- DOS(E_F): 0.27 states/eV/atom
- Formation energy: -2.4 eV/f.u.
- E_tot: -260.42 eV/cell

The following is a DFT calculation (meta-GGA SCAN) of ZnP4O11 at its PBEsol-relaxed geometry.

Unit cell a=9.1715 b=9.2301 c=10.6826 alpha=109.12 beta=108.30 gamma=90.82
Space group P-1 (No. 2)
Unique sites:
Zn  0.2285  0.2715  0.0028 [2 per cell]
Zn  0.2544  0.7816  0.5205 [2 per cell]
P  0.0925  0.4502  0.2541 [2 per cell]
P  0.0933  0.9020  0.2579 [2 per cell]
P  0.0955  0.2278  0.4103 [2 per cell]
P  0.2374  0.5750  0.8876 [2 per cell]
P  0.2628  0.9159  0.0574 [2 per cell]
P  0.4125  0.1095  0.7860 [2 per cell]
P  0.4346  0.2493  0.5737 [2 per cell]
P  0.4420  0.5902  0.7269 [2 per cell]
O  0.0311  0.7572  0.5326 [2 per cell]
O  0.0593  0.1956  0.8115 [2 per cell]
O  0.0760  0.0835  0.2742 [2 per cell]
O  0.0824  0.3390  0.1134 [2 per cell]
O  0.0862  0.5256  0.7531 [2 per cell]
O  0.1397  0.3664  0.3707 [2 per cell]
O  0.1845  0.8592  0.1459 [2 per cell]
O  0.1917  0.6016  0.3239 [2 per cell]
O  0.1940  0.0340  0.0018 [2 per cell]
O  0.2010  0.9095  0.3971 [2 per cell]
O  0.2415  0.5118  0.9980 [2 per cell]
O  0.2510  0.2260  0.5296 [2 per cell]
O  0.2607  0.7594  0.9353 [2 per cell]
O  0.2893  0.9810  0.6882 [2 per cell]
O  0.3153  0.6433  0.6331 [2 per cell]
O  0.3691  0.5266  0.8233 [2 per cell]
O  0.3887  0.2356  0.9041 [2 per cell]
O  0.4076  0.3120  0.1855 [2 per cell]
O  0.4376  0.9686  0.1503 [2 per cell]
O  0.4818  0.4284  0.6346 [2 per cell]
O  0.4865  0.1928  0.7019 [2 per cell]
O  0.5001  0.1768  0.4624 [2 per cell]

Calculated values
- Offset from the most stable computed form: 0.2 kJ per mole of atoms
- DOS(E_F): 0.00 states/eV/atom
- E_tot: -637.99 eV/cell

The following is a DFT calculation (meta-GGA SCAN) of ZrTeOs at its PBEsol-relaxed geometry.

Unit cell a=4.5056 b=4.5056 c=3.1445 alpha=90.00 beta=90.00 gamma=120.00
Space group P-6m2 (No. 187)
Unique sites:
Zr  0.0000  0.0000  0.0000 [1 per cell]
Te  0.6667  0.3333  0.5000 [1 per cell]
Os  0.3333  0.6667  0.5000 [1 per cell]

Calculated values
- DOS(E_F): 0.25 states/eV/atom
- E_tot: -140.87 eV/cell

The following is a DFT calculation (meta-GGA SCAN) of P2IrNCl at its PBEsol-relaxed geometry.

Unit cell a=4.4751 b=4.4751 c=5.1278 alpha=90.00 beta=90.00 gamma=90.00
Space group P4/mmm (No. 123)
Unique sites:
P  0.0000  0.5000  0.0000 [2 per cell]
Ir  0.0000  0.0000  0.0000 [1 per cell]
N  0.5000  0.5000  0.5000 [1 per cell]
Cl  0.0000  0.0000  0.5000 [1 per cell]

Calculated values
- DOS(E_F): 0.48 states/eV/atom
- E_tot: -102.54 eV/cell

The following is a DFT calculation (meta-GGA SCAN) of ScRe3Ag at its PBEsol-relaxed geometry.

Unit cell a=4.5225 b=4.5225 c=4.5225 alpha=90.00 beta=90.00 gamma=90.00
Space group Pm-3m (No. 221)
Unique sites:
Sc  0.0000  0.0000  0.0000 [1 per cell]
Re  0.0000  0.0000  0.5000 [3 per cell]
Ag  0.5000  0.5000  0.5000 [1 per cell]

Calculated values
- DOS(E_F): 1.11 states/eV/atom
- Formation energy: 13.5 eV/f.u.
- E_tot: -245.38 eV/cell

The following is a DFT calculation (meta-GGA SCAN) of SrPt2Cl at its PBEsol-relaxed geometry.

Unit cell a=3.0150 b=4.9223 c=5.3522 alpha=90.00 beta=90.00 gamma=90.00
Space group Pmmm (No. 47)
Unique sites:
Sr  0.0000  0.0000  0.0000 [1 per cell]
Pt  0.5000  0.5000  0.2494 [2 per cell]
Cl  0.0000  0.0000  0.5000 [1 per cell]

Calculated values
- Offset from the most stable computed form: 26.8 kJ per mole of atoms
- DOS(E_F): 0.66 states/eV/atom
- E_tot: -171.84 eV/cell

The following is a DFT calculation (meta-GGA SCAN) of KSr2Co at its PBEsol-relaxed geometry.

Unit cell a=4.1138 b=4.1138 c=9.6030 alpha=90.00 beta=90.00 gamma=90.00
Space group P4mm (No. 99)
Unique sites:
K  0.0000  0.0000  0.0000 [1 per cell]
Sr  0.0000  0.0000  0.3656 [1 per cell]
Sr  0.5000  0.5000  0.6347 [1 per cell]
Co  0.5000  0.5000  0.3100 [1 per cell]

Calculated values
- Offset from the most stable computed form: 0.0 kJ per mole of atoms
- DOS(E_F): 0.81 states/eV/atom
- Formation energy: 1.8 eV/f.u.
- E_tot: -68.38 eV/cell

The following is a DFT calculation (meta-GGA SCAN) of BaAgPt at its PBEsol-relaxed geometry.

Unit cell a=4.5997 b=4.5997 c=4.3185 alpha=90.00 beta=90.00 gamma=120.00
Space group P-6m2 (No. 187)
Unique sites:
Ba  0.0000  0.0000  0.0000 [1 per cell]
Ag  0.6667  0.3333  0.5000 [1 per cell]
Pt  0.3333  0.6667  0.5000 [1 per cell]

Calculated values
- DOS(E_F): 0.29 states/eV/atom
- Formation energy: -1.5 eV/f.u.
- E_tot: -142.62 eV/cell

The following is a DFT calculation (meta-GGA SCAN) of ScAl2Co at its PBEsol-relaxed geometry.

Unit cell a=2.9391 b=2.9391 c=25.4033 alpha=90.00 beta=90.00 gamma=120.00
Space group R3m (No. 160, hexagonal axes)
Unique sites:
Sc  0.0000  0.0000  0.0000 [3 per cell]
Al  0.0000  0.0000  0.5223 [3 per cell]
Al  0.0000  0.0000  0.7648 [3 per cell]
Co  0.0000  0.0000  0.2590 [3 per cell]

Calculated values
- DOS(E_F): 0.66 states/eV/atom
- Formation energy: 0.0 eV/f.u.
- E_tot: -141.20 eV/cell

The following is a DFT calculation (meta-GGA SCAN) of MgCuPt2 at its PBEsol-relaxed geometry.

Unit cell a=2.8163 b=3.5936 c=5.6212 alpha=90.00 beta=90.00 gamma=90.00
Space group Pmmm (No. 47)
Unique sites:
Mg  0.0000  0.0000  0.0000 [1 per cell]
Cu  0.0000  0.0000  0.5000 [1 per cell]
Pt  0.5000  0.5000  0.2583 [2 per cell]

Calculated values
- DOS(E_F): 0.38 states/eV/atom
- Formation energy: -2.4 eV/f.u.
- E_tot: -162.93 eV/cell

The following is a DFT calculation (meta-GGA SCAN) of La4FeCo3O12 at its PBEsol-relaxed geometry.

Unit cell a=5.3455 b=5.4229 c=7.5854 alpha=89.97 beta=88.99 gamma=89.94
Space group P-1 (No. 2)
Unique sites:
La  0.0092  0.0002  0.2491 [2 per cell]
La  0.4915  0.4967  0.7518 [2 per cell]
Fe  0.0000  0.5000  0.5000 [1 per cell]
Co  0.0000  0.5000  0.0000 [1 per cell]
Co  0.5000  0.0000  0.0000 [1 per cell]
Co  0.5000  0.0000  0.5000 [1 per cell]
O  0.0021  0.4483  0.2469 [2 per cell]
O  0.2224  0.2220  0.9674 [2 per cell]
O  0.2438  0.7612  0.4746 [2 per cell]
O  0.2598  0.2553  0.5298 [2 per cell]
O  0.2776  0.7230  0.0287 [2 per cell]
O  0.4911  0.0617  0.2495 [2 per cell]

Calculated values
- E_tot: -371.79 eV/cell